Density functional theory data (PBE) for a geometry-optimized MgNpAs2 structure.

Results
Energy of formation from the pure elements in eV per formula unit: -2.0

a b c (Å): 4.679 4.679 3.672
angles (deg): 90.00 90.00 90.00
Element x y z (fractional)
Mg (0.000, 0.000, 0.000)
Np (0.500, 0.500, 0.000)
As (0.000, 0.500, 0.500)
As (0.500, 0.000, 0.500)

Density functional theory data (PBE) for a geometry-optimized MgNpAs2 structure.

Results
Energy of formation from the pure elements in eV per formula unit: -2.1

a b c (Å): 6.912 6.912 6.912
angles (deg): 34.24 34.24 34.24
Element x y z (fractional)
Mg (0.000, 0.000, 0.000)
Np (0.173, 0.173, 0.173)
As (0.589, 0.589, 0.589)
As (0.757, 0.757, 0.757)

Density functional theory data (PBE) for a geometry-optimized MgNp2As4 structure.

Results
Energy of formation from the pure elements in eV per formula unit: -3.8

a b c (Å): 3.885 3.885 10.524
angles (deg): 90.00 90.00 90.00
Element x y z (fractional)
Mg (0.000, 0.000, 0.000)
Np (0.000, 0.500, 0.718)
Np (0.500, 0.000, 0.282)
As (0.000, 0.000, 0.500)
As (0.000, 0.500, 0.180)
As (0.500, 0.000, 0.820)
As (0.500, 0.500, 0.500)

Density functional theory data (PBE) for a geometry-optimized MgNpAs2 structure.

Results
Energy of formation from the pure elements in eV per formula unit: -2.2

a b c (Å): 6.684 6.684 6.684
angles (deg): 35.92 35.92 35.92
Element x y z (fractional)
Mg (0.000, 0.000, 0.000)
Np (0.500, 0.500, 0.500)
As (0.250, 0.250, 0.250)
As (0.750, 0.750, 0.750)

Density functional theory data (PBE) for a geometry-optimized MgNpAsO6 structure.

Results
ΔE_f (raw) in eV per atom: -2.047

a b c (Å): 5.452 5.452 8.951
angles (deg): 90.00 90.00 120.00
Element x y z (fractional)
Mg (0.000, 0.000, 0.000)
Mg (0.000, 0.000, 0.500)
Np (0.333, 0.667, 0.250)
Np (0.667, 0.333, 0.750)
As (0.333, 0.667, 0.750)
As (0.667, 0.333, 0.250)
O (0.008, 0.348, 0.133)
O (0.008, 0.660, 0.367)
O (0.340, 0.348, 0.367)
O (0.340, 0.992, 0.133)
O (0.348, 0.008, 0.633)
O (0.348, 0.340, 0.867)
O (0.652, 0.660, 0.133)
O (0.652, 0.992, 0.367)
O (0.660, 0.008, 0.867)
O (0.660, 0.652, 0.633)
O (0.992, 0.340, 0.633)
O (0.992, 0.652, 0.867)

Density functional theory data (PBE) for a geometry-optimized Pu2MgNpAs4 structure.

Results
Energy of formation from the pure elements in eV per formula unit: -5.9

a b c (Å): 7.060 4.134 7.070
angles (deg): 90.00 109.87 90.00
Element x y z (fractional)
Pu (0.000, 0.000, 0.000)
Pu (0.000, 0.500, 0.500)
Mg (0.500, 0.000, 0.500)
Np (0.500, 0.500, 0.000)
As (0.253, 0.000, 0.752)
As (0.255, 0.500, 0.252)
As (0.745, 0.500, 0.748)
As (0.747, 0.000, 0.248)

Number 1: E -6.448 eV per atom. Number 2: E -6.476 eV per atom. Number 3: E -7.118 eV per atom. Number 4: E -6.516 eV per atom. Number 5: E -7.484 eV per atom. Number 6: E -8.459 eV per atom.